Compound: ZnCoO2
Source: Alexandria
Functional: PBE+U
Structure: relaxed

The total energy comes out at -5.179 eV/atom.

It has space group P3m1 (No. 156), with a = 3.2069 Å, b = 3.2069 Å, c = 5.1859 Å, α = 90.00°, β = 90.00° and γ = 120.00°. The distinct sites, in fractional coordinates, are Zn at (0.0000, 0.0000, 0.0000), Co at (0.3333, 0.6667, 0.4762), O at (0.3333, 0.6667, 0.8541) and O at (0.6667, 0.3333, 0.3212).